1.
11
Lattice="5.892 -8.642 0.000 5.892 8.642 0.000 -1.770 0.000 7.116" Properties=species:S:1:pos:R:3 comment="Rb8NaHg2, relaxed, DFT PBE-GGA" ef_ev_per_atom=-0.070 pbc="T T T"
Rb 1.264 2.273 4.179
Rb 5.892 4.371 0.000
Rb 1.264 -2.273 4.179
Rb 4.129 0.000 1.411
Rb 5.886 0.000 5.705
Rb 8.750 2.273 2.938
Rb 5.892 -4.371 0.000
Rb 8.750 -2.273 2.938
Na 0.000 0.000 0.000
Hg 5.007 3.155 3.558
Hg 5.007 -3.155 3.558

=====

2.
8
Lattice="3.711 0.000 0.000 0.000 5.502 0.000 0.000 0.000 11.012" Properties=species:S:1:pos:R:3 comment="DyTh3Sc4, relaxed, DFT PBE-GGA" ef_ev_per_atom=0.048 pbc="T T T"
Dy 0.000 0.000 0.000
Th 0.000 0.000 5.506
Th 0.000 2.751 2.721
Th 0.000 2.751 8.291
Sc 1.856 0.000 2.789
Sc 1.856 0.000 8.223
Sc 1.856 2.751 0.000
Sc 1.856 2.751 5.506

=====

3.
4
Lattice="3.269 0.000 0.000 0.000 4.335 0.000 0.000 0.000 4.606" Properties=species:S:1:pos:R:3 comment="AlAs2Ru, relaxed, DFT PBE-GGA" ef_ev_per_atom=0.191 pbc="T T T"
Al 0.000 0.000 0.000
As 0.000 2.167 2.303
As 1.634 0.000 2.303
Ru 1.634 2.167 0.000

=====

4.
4
Lattice="0.000 3.728 3.728 3.728 0.000 3.728 3.728 3.728 0.000" Properties=species:S:1:pos:R:3 comment="AcYGaPd, relaxed, DFT PBE-GGA" ef_ev_per_atom=-0.570 pbc="T T T"
Ac 0.000 0.000 0.000
Y 3.728 3.728 3.728
Ga 1.864 1.864 1.864
Pd 5.592 5.592 5.592